Record 1
The following is a DFT calculation (PBE) of LiNiHgGe after structural relaxation.

abc: 6.252 6.252 6.252
angles: 90.00 90.00 90.00
Space group F-43m (No. 216)
Asymmetric unit:
1 Li 0.000 0.000 0.000 [4 per cell]
2 Ni 0.000 0.000 0.500 [4 per cell]
3 Hg 0.250 0.250 0.750 [4 per cell]
4 Ge 0.250 0.250 0.250 [4 per cell]

Summary:
**Uncorrected energy**: -3.2722 eV per atom
**Total magnetization**: 0.000 Bohr magnetons per cell
**Formation energy**: -11.45 kJ/mol of atoms
**Density of states at the Fermi level**: 10.72 states/eV per cell
**Crystal system**: cubic
**Mass density**: 9.2 g/cm³


Record 2
The following is a DFT calculation (PBE) of Rb2Th2I7 after structural relaxation.

abc: 8.983 11.089 9.984
angles: 90.00 91.19 90.00
Space group C2/m (No. 12)
Asymmetric unit:
1 Rb 0.000 0.235 0.000 [4 per cell]
2 Th 0.163 0.500 0.412 [4 per cell]
3 I 0.000 0.000 0.500 [2 per cell]
4 I 0.125 0.324 0.662 [8 per cell]
5 I 0.230 0.500 0.094 [4 per cell]

Summary:
**Uncorrected energy**: -3.5709 eV per atom
**Total magnetization**: 2.280 Bohr magnetons per cell
**Density of states at the Fermi level**: 13.48 states/eV per cell
**Crystal system**: monoclinic
**Mass density**: 5.1 g/cm³


Record 3
The following is a DFT calculation (PBE) of MgSi2I after structural relaxation.

abc: 6.120 6.120 13.610
angles: 90.00 90.00 90.00
Space group I-42d (No. 122)
Asymmetric unit:
1 Mg 0.000 0.000 0.000 [4 per cell]
2 Si 0.212 0.250 0.125 [8 per cell]
3 I 0.000 0.000 0.500 [4 per cell]

Summary:
**Uncorrected energy**: -2.6736 eV per atom
**Total magnetization**: 0.000 Bohr magnetons per cell
**Density of states at the Fermi level**: 20.07 states/eV per cell
**Crystal system**: tetragonal
**ΔE to the lowest computed polymorph**: 53 meV/atom
**Mass density**: 2.7 g/cm³


Record 4
The following is a DFT calculation (PBE) of BeSiAu2 after structural relaxation.

abc: 3.819 3.819 8.358
angles: 90.00 90.00 90.00
Space group I-4m2 (No. 119)
Asymmetric unit:
1 Be 0.000 0.000 0.000 [2 per cell]
2 Si 0.000 0.500 0.750 [2 per cell]
3 Au 0.000 0.000 0.500 [2 per cell]
4 Au 0.000 0.500 0.250 [2 per cell]

Summary:
**Uncorrected energy**: -3.7043 eV per atom
**Total magnetization**: 0.000 Bohr magnetons per cell
**Density of states at the Fermi level**: 3.12 states/eV per cell
**Crystal system**: tetragonal
**Mass density**: 11.7 g/cm³


Record 5
The following is a DFT calculation (PBE) of LaEr2PaP4 after structural relaxation.

abc: 6.941 4.041 7.027
angles: 90.00 109.49 90.00
Space group P2/m (No. 10)
Asymmetric unit:
1 La 0.000 0.000 0.000 [1 per cell]
2 Er 0.500 0.000 0.500 [1 per cell]
3 Er 0.500 0.500 0.000 [1 per cell]
4 Pa 0.000 0.500 0.500 [1 per cell]
5 P 0.253 0.000 0.741 [2 per cell]
6 P 0.258 0.500 0.265 [2 per cell]

Summary:
**Uncorrected energy**: -7.1565 eV per atom
**Total magnetization**: 0.002 Bohr magnetons per cell
**Formation energy**: -145.49 kJ/mol of atoms
**Density of states at the Fermi level**: 4.99 states/eV per cell
**Crystal system**: monoclinic
**Mass density**: 7.4 g/cm³


Record 6
The following is a DFT calculation (PBE) of TaRhAu2 after structural relaxation.

abc: 5.397 8.517 2.940
angles: 90.00 90.00 90.00
Space group Cmmm (No. 65)
Asymmetric unit:
1 Ta 0.000 0.000 0.000 [2 per cell]
2 Rh 0.000 0.500 0.000 [2 per cell]
3 Au 0.250 0.250 0.500 [4 per cell]

Summary:
**Uncorrected energy**: -6.4439 eV per atom
**Total magnetization**: 0.000 Bohr magnetons per cell
**Formation energy**: -0.40 kJ/mol of atoms
**Density of states at the Fermi level**: 4.53 states/eV per cell
**Crystal system**: orthorhombic
**ΔE to the lowest computed polymorph**: 221 meV/atom
**Mass density**: 16.7 g/cm³


Let's list volume in order: 15.27, 45.20, 31.86, 15.24, 23.23, 16.89 Å³/atom.